No. 1
Here is a crystal of MgSnIr2 relaxed with PBEsol from Alexandria. Energies are from SCAN.

**Total magnetization**: 0.00 Bohr magnetons per cell
**Final energy**: -46.15 eV per atom
**Energy relative to the elements**: -378 meV/atom

Lattice parameters (Å, degrees): 4.4511 4.4511 4.4511 60.00 60.00 60.00
Sites, in units of the cell vectors:
Mg  0.0000  0.0000  0.0000
Sn  0.5000  0.5000  0.5000
Ir  0.2500  0.2500  0.2500
Ir  0.7500  0.7500  0.7500


No. 2
Here is a crystal of KPaO3 relaxed with PBEsol from Alexandria. Energies are from SCAN.

**ΔE_f (raw)**: -3376 meV per atom
**Total magnetization**: 0.00 Bohr magnetons per cell
**Final energy**: -28.71 eV per atom

Lattice parameters (Å, degrees): 4.3414 4.3414 4.3414 90.00 90.00 90.00
Sites, in units of the cell vectors:
K  0.0000  0.0000  0.0000
Pa  0.5000  0.5000  0.5000
O  0.0000  0.5000  0.5000
O  0.5000  0.0000  0.5000
O  0.5000  0.5000  0.0000